First-principles (PBE-GGA) data for a relaxed structure of CePmSb, as listed in Alexandria.

Properties
crystal system	cubic
raw formation energy	-0.511	eV per atom
magnetization	1.68	μB/cell

a = 5.2356 Å, b = 5.2356 Å, c = 5.2356 Å
α = 60.00°, β = 60.00°, γ = 60.00°
Positions (direct):
Sb: 0.2500 0.2500 0.2500
Ce: 0.0000 0.0000 0.0000
Pm: 0.5000 0.5000 0.5000

***

First-principles (PBE-GGA) data for a relaxed structure of Ce2Pm2Sb5, as listed in Alexandria.

Properties
crystal system	orthorhombic
raw formation energy	-0.952	eV per atom
magnetization	0.45	μB/cell

a = 8.3098 Å, b = 8.9139 Å, c = 8.9139 Å
α = 124.94°, β = 90.00°, γ = 90.00°
Positions (direct):
Sb: 0.0000 0.0000 0.0000
Sb: 0.5000 0.5000 0.5000
Pm: 0.0000 0.8037 0.1963
Sb: 0.1512 0.4835 0.2104
Sb: 0.6512 0.0165 0.2896
Pm: 0.5000 0.6963 0.3037
Sb: 0.8488 0.5165 0.7896
Sb: 0.6512 0.2896 0.0165
Pm: 0.5000 0.3037 0.6963
Ce: 0.6541 0.8476 0.8476
Sb: 0.3488 0.9835 0.7104
Ce: 0.1541 0.6524 0.6524
Ce: 0.3459 0.1524 0.1524
Sb: 0.1512 0.2104 0.4835
Sb: 0.8488 0.7896 0.5165
Ce: 0.8459 0.3476 0.3476
Sb: 0.3488 0.7104 0.9835
Pm: 0.0000 0.1963 0.8037

***

First-principles (PBE-GGA) data for a relaxed structure of Ce4PmSb5, as listed in Alexandria.

Properties
crystal system	tetragonal
raw formation energy	-1.069	eV per atom
magnetization	3.34	μB/cell

a = 4.5011 Å, b = 4.5011 Å, c = 16.2130 Å
α = 97.98°, β = 97.98°, γ = 90.00°
Positions (direct):
Sb: 0.1001 0.1001 0.2001
Sb: 0.6999 0.6999 0.3998
Pm: 0.0000 0.0000 0.0000
Sb: 0.8999 0.8999 0.7999
Ce: 0.8001 0.8001 0.6001
Ce: 0.5995 0.5995 0.1989
Sb: 0.3001 0.3001 0.6002
Ce: 0.1999 0.1999 0.3999
Sb: 0.5000 0.5000 0.0000
Ce: 0.4005 0.4005 0.8011

***

The following volume values (in Å³ per atom) correspond, in order, to the records above: 33.8; 30.1; 32.2.
The following N(E_F) values (in states/eV/cell) correspond, in order, to the records above: 10.1; 13.5; 27.9.